No. 1
This record from Alexandria via LeMat-Bulk describes Pm2TmSc3 after structural relaxation. The functional is PBE-GGA.

Results
- Size of the total moment: 0.00 μB/cell
- DFT formation energy: 0.41 eV/f.u.
- Raw total energy: -65.11 eV for the cell shown
- Volume: 28.5 Å³/atom
- Crystal system: monoclinic

a b c (Å): 5.9920 3.4655 16.6150
angles (deg): 90.00 96.85 90.00
Last column: nearest neighbours and their distance in Å.
Space group P2_1/m (No. 11)
Inequivalent atoms, fractional coordinates:
Pm1 0.0296 0.2500 0.3339 [2 per cell]  6 Sc 3.38-3.42, 4 Tm 3.45-3.48, 2 Pm 3.47
Pm2 0.2503 0.2500 0.9998 [2 per cell]  6 Sc 3.42-3.43, 6 Pm 3.46-3.47
Tm1 0.4735 0.2500 0.6661 [2 per cell]  6 Sc 3.37-3.39, 4 Pm 3.45-3.48, 2 Tm 3.47
Sc1 0.1401 0.7500 0.1679 [2 per cell]  1 Tm 3.38, 5 Pm 3.39-3.42, 6 Sc 3.45-3.47
Sc2 0.2542 0.7500 0.5013 [2 per cell]  3 Tm 3.37-3.39, 3 Pm 3.39-3.42, 6 Sc 3.42-3.50
Sc3 0.3615 0.7500 0.8307 [2 per cell]  2 Tm 3.37, 4 Pm 3.38-3.43, 6 Sc 3.45-3.47



No. 2
This record from Alexandria via LeMat-Bulk describes PmTm6Sc4 after structural relaxation. The functional is PBE-GGA.

Results
- Size of the total moment: 1.38 μB/cell
- DFT formation energy: 5.98 eV/f.u.
- Raw total energy: -101.85 eV for the cell shown
- Volume: 32.0 Å³/atom
- Crystal system: tetragonal

a b c (Å): 7.6952 7.6952 11.9051
angles (deg): 90.00 90.00 90.00
Last column: nearest neighbours and their distance in Å.
Space group I-42m (No. 121)
Inequivalent atoms, fractional coordinates:
Pm1 0.0000 0.0000 0.0000 [2 per cell]  4 Sc 3.60, 8 Tm 3.79-3.85
Tm1 0.0000 0.5000 0.0000 [4 per cell]  4 Tm 3.03
Tm2 0.1628 0.1628 0.5788 [8 per cell]  4 Tm 3.03-3.13, 4 Sc 3.06-3.35
Sc1 0.2355 0.2355 0.3184 [8 per cell]  4 Tm 3.06-3.35



- What is the volume in the second record?
  32.0 Å³/atom